No. 1
PrErAgBi | GGA-PBE | optimized geometry

Formation enthalpy at 0 K ... -425 meV per atom
Calculated volume ... 27.47 Å³ per atom

a b c (Å): 5.3761 5.3761 5.3761
angles (deg): 60.00 60.00 60.00
Closest atoms and distances in Å follow each position.
Positions (direct):
Pr1 0.0000 0.0000 0.0000  4 Bi 3.29, 4 Ag 3.29
Er1 0.5000 0.5000 0.5000  4 Ag 3.29, 4 Bi 3.29
Ag1 0.7500 0.7500 0.7500  4 Pr 3.29, 4 Er 3.29
Bi1 0.2500 0.2500 0.2500  4 Er 3.29, 4 Pr 3.29

No. 2
Ti4InMo | GGA-PBE | optimized geometry

Formation enthalpy at 0 K ... 407 meV per atom
Calculated volume ... 20.77 Å³ per atom

a b c (Å): 4.5143 4.5143 7.5512
angles (deg): 107.35 107.35 59.60
Closest atoms and distances in Å follow each position.
Positions (direct):
Ti1 0.1149 0.1149 0.3402  1 Mo 2.41
Ti2 0.3656 0.3656 0.0961  3 Mo 2.68-2.70, 1 In 2.86, 3 Ti 2.94
Ti3 0.6344 0.6344 0.9039  3 Mo 2.68-2.70, 1 In 2.86, 3 Ti 2.94
Ti4 0.8851 0.8851 0.6598  1 Mo 2.41
In1 0.5000 0.5000 0.5000  8 Ti 2.84-2.86
Mo1 0.0000 0.0000 0.0000  6 Ti 2.41-2.68

No. 3
RbAgCl3 | GGA-PBE | optimized geometry

Calculated volume ... 32.98 Å³ per atom
E_form (uncorrected) ... -0.9870 eV/atom

a b c (Å): 9.1890 9.1890 8.0699
angles (deg): 99.07 99.07 81.85
Closest atoms and distances in Å follow each position.
Positions (direct):
Rb1 0.1099 0.3674 0.2769  7 Cl 3.24-3.60
Rb2 0.3674 0.1099 0.7769  7 Cl 3.24-3.60
Rb3 0.6326 0.8901 0.2231  7 Cl 3.24-3.60
Rb4 0.8901 0.6326 0.7231  7 Cl 3.24-3.60
Ag1 0.1642 0.8358 0.2500  2 Cl 2.40
Ag2 0.3736 0.6264 0.7500  4 Cl 2.39-2.42
Ag3 0.6264 0.3736 0.2500  4 Cl 2.39-2.42
Ag4 0.8358 0.1642 0.7500  2 Cl 2.40
Cl1 0.0405 0.3036 0.8565  1 Ag 2.40
Cl2 0.1768 0.7132 0.5391  1 Ag 2.42
Cl3 0.2868 0.8232 0.9609  1 Ag 2.42
Cl4 0.3036 0.0405 0.3565  1 Ag 2.40
Cl5 0.3862 0.4010 0.0864  1 Ag 2.39
Cl6 0.4010 0.3862 0.5864  1 Ag 2.39
Cl7 0.5990 0.6138 0.4136  1 Ag 2.39
Cl8 0.6138 0.5990 0.9136  1 Ag 2.39
Cl9 0.6964 0.9595 0.6435  1 Ag 2.40
Cl10 0.7132 0.1768 0.0391  1 Ag 2.42
Cl11 0.8232 0.2868 0.4609  1 Ag 2.42
Cl12 0.9595 0.6964 0.1435  1 Ag 2.40

Number 1: density of states at the Fermi level 1.140 states/eV per atom. Number 2: density of states at the Fermi level 1.482 states/eV per atom. Number 3: density of states at the Fermi level 0.000 states/eV per atom.